No. 1
Density functional theory data (GGA-PBE) for crystalline PmPuCoOs at its relaxed geometry.

Values from the calculation:
As for the formation energy from the elements: 0.05 eV per atom. The value obtained for the density of states at the Fermi level is 1.377 states/eV/atom. Its total energy is -37.20 eV per formula unit.

Lattice parameters (Å, degrees): 4.8377 4.8377 4.8377 60.00 60.00 60.00
With the nearest neighbours (Å) after each atom.
Atoms (fractional coordinates):
1 Pm 0.0000 0.0000 0.0000  4 Os 2.96, 4 Co 2.96
2 Pu 0.5000 0.5000 0.5000  4 Os 2.96, 4 Co 2.96
3 Co 0.2500 0.2500 0.2500  4 Pm 2.96, 4 Pu 2.96
4 Os 0.7500 0.7500 0.7500  4 Pm 2.96, 4 Pu 2.96

***

No. 2
Density functional theory data (GGA-PBE) for crystalline PmCoSbOs at its relaxed geometry.

Values from the calculation:
For the formation energy without anion corrections, the calculation gives 0.079 eV/atom. The value obtained for the density of states at the Fermi level is 0.454 states/eV/atom. Its total energy is -26.89 eV per formula unit.

Lattice parameters (Å, degrees): 4.7061 4.7061 4.7061 60.00 60.00 60.00
With the nearest neighbours (Å) after each atom.
Atoms (fractional coordinates):
1 Pm 0.0000 0.0000 0.0000  4 Co 2.88, 4 Os 2.88
2 Co 0.2500 0.2500 0.2500  4 Sb 2.88, 4 Pm 2.88
3 Sb 0.5000 0.5000 0.5000  4 Os 2.88, 4 Co 2.88
4 Os 0.7500 0.7500 0.7500  4 Sb 2.88, 4 Pm 2.88

***

No. 3
Density functional theory data (GGA-PBE) for crystalline PmScCoOs at its relaxed geometry.

Values from the calculation:
As for the formation energy from the elements: -0.08 eV per atom. The value obtained for the density of states at the Fermi level is 1.002 states/eV/atom. Its total energy is -29.74 eV per formula unit.

Lattice parameters (Å, degrees): 4.7123 4.7123 4.7123 60.00 60.00 60.00
With the nearest neighbours (Å) after each atom.
Atoms (fractional coordinates):
1 Pm 0.0000 0.0000 0.0000  4 Os 2.89, 4 Co 2.89
2 Sc 0.5000 0.5000 0.5000  4 Co 2.89, 4 Os 2.89
3 Co 0.7500 0.7500 0.7500  4 Sc 2.89, 4 Pm 2.89
4 Os 0.2500 0.2500 0.2500  4 Sc 2.89, 4 Pm 2.89

***

No. 4
Density functional theory data (GGA-PBE) for crystalline PmCoSi3Os at its relaxed geometry.

Values from the calculation:
For the formation energy without anion corrections, the calculation gives -0.369 eV/atom. The value obtained for the density of states at the Fermi level is 0.366 states/eV/atom. Its total energy is -41.57 eV per formula unit.

Lattice parameters (Å, degrees): 6.5837 6.5837 5.4683 90.00 90.00 113.11
With the nearest neighbours (Å) after each atom.
Atoms (fractional coordinates):
1 Pm 0.2491 0.7509 0.7500  2 Si 2.74
2 Pm 0.7509 0.2491 0.2500  2 Si 2.74
3 Co 0.0507 0.9493 0.2500  5 Si 2.07-2.28
4 Co 0.9493 0.0507 0.7500  5 Si 2.07-2.28
5 Si 0.2387 0.2387 0.0000  2 Co 2.28, 2 Os 2.42
6 Si 0.2387 0.2387 0.5000  2 Co 2.28, 2 Os 2.42
7 Si 0.2386 0.7614 0.2500  1 Co 2.07, 1 Os 2.23
8 Si 0.7614 0.2386 0.7500  1 Co 2.07, 1 Os 2.23
9 Si 0.7613 0.7613 0.0000  2 Co 2.28, 2 Os 2.42
10 Si 0.7613 0.7613 0.5000  2 Co 2.28, 2 Os 2.42
11 Os 0.4414 0.5586 0.2500  5 Si 2.23-2.42
12 Os 0.5586 0.4414 0.7500  5 Si 2.23-2.42

***

No. 5
Density functional theory data (GGA-PBE) for crystalline PmCoSi2Os at its relaxed geometry.

Values from the calculation:
For the formation energy without anion corrections, the calculation gives -0.749 eV/atom. The value obtained for the density of states at the Fermi level is 0.496 states/eV/atom. Its total energy is -37.68 eV per formula unit.

Lattice parameters (Å, degrees): 5.7420 5.7420 5.7420 138.53 138.53 60.09
With the nearest neighbours (Å) after each atom.
Atoms (fractional coordinates):
1 Pm 0.0000 0.0000 0.0000  8 Si 3.15, 4 Co 3.21, 4 Os 3.21
2 Co 0.7500 0.2500 0.5000  4 Si 2.36
3 Si 0.3698 0.3698 0.0000  2 Co 2.36, 2 Os 2.36, 1 Si 2.59
4 Si 0.6302 0.6302 0.0000  2 Co 2.36, 2 Os 2.36, 1 Si 2.59
5 Os 0.2500 0.7500 0.5000  4 Si 2.36

***

No. 6
Density functional theory data (GGA-PBE) for crystalline PmSmCoOs at its relaxed geometry.

Values from the calculation:
As for the formation energy from the elements: 0.06 eV per atom. The value obtained for the density of states at the Fermi level is 1.643 states/eV/atom. Its total energy is -27.56 eV per formula unit.

Lattice parameters (Å, degrees): 4.9145 4.9145 4.9145 60.00 60.00 60.00
With the nearest neighbours (Å) after each atom.
Atoms (fractional coordinates):
1 Pm 0.0000 0.0000 0.0000  4 Co 3.01, 4 Os 3.01
2 Sm 0.5000 0.5000 0.5000  4 Co 3.01, 4 Os 3.01
3 Co 0.7500 0.7500 0.7500  4 Pm 3.01, 4 Sm 3.01
4 Os 0.2500 0.2500 0.2500  4 Pm 3.01, 4 Sm 3.01

***

No. 7
Density functional theory data (GGA-PBE) for crystalline TbPmCoOs at its relaxed geometry.

Values from the calculation:
As for the formation energy from the elements: 0.00 eV per atom. The value obtained for the density of states at the Fermi level is 1.461 states/eV/atom. Its total energy is -27.70 eV per formula unit.

Lattice parameters (Å, degrees): 4.8682 4.8682 4.8682 60.00 60.00 60.00
With the nearest neighbours (Å) after each atom.
Atoms (fractional coordinates):
1 Tb 0.0000 0.0000 0.0000  4 Co 2.98, 4 Os 2.98
2 Pm 0.5000 0.5000 0.5000  4 Os 2.98, 4 Co 2.98
3 Co 0.2500 0.2500 0.2500  4 Pm 2.98, 4 Tb 2.98
4 Os 0.7500 0.7500 0.7500  4 Pm 2.98, 4 Tb 2.98

***

No. 8
Density functional theory data (GGA-PBE) for crystalline PmThCoOs at its relaxed geometry.

Values from the calculation:
As for the formation energy from the elements: -0.09 eV per atom. The value obtained for the density of states at the Fermi level is 0.273 states/eV/atom. Its total energy is -30.86 eV per formula unit.

Lattice parameters (Å, degrees): 4.9549 4.9549 4.9549 60.00 60.00 60.00
With the nearest neighbours (Å) after each atom.
Atoms (fractional coordinates):
1 Pm 0.0000 0.0000 0.0000  4 Os 3.03, 4 Co 3.03
2 Th 0.5000 0.5000 0.5000  4 Os 3.03, 4 Co 3.03
3 Co 0.2500 0.2500 0.2500  4 Th 3.03, 4 Pm 3.03
4 Os 0.7500 0.7500 0.7500  4 Th 3.03, 4 Pm 3.03

***

No. 9
Density functional theory data (GGA-PBE) for crystalline PmYCoOs at its relaxed geometry.

Values from the calculation:
As for the formation energy from the elements: 0.00 eV per atom. The value obtained for the density of states at the Fermi level is 1.347 states/eV/atom. Its total energy is -29.54 eV per formula unit.

Lattice parameters (Å, degrees): 4.8645 4.8645 4.8645 60.00 60.00 60.00
With the nearest neighbours (Å) after each atom.
Atoms (fractional coordinates):
1 Pm 0.0000 0.0000 0.0000  4 Co 2.98, 4 Os 2.98
2 Y 0.5000 0.5000 0.5000  4 Co 2.98, 4 Os 2.98
3 Co 0.2500 0.2500 0.2500  4 Pm 2.98, 4 Y 2.98
4 Os 0.7500 0.7500 0.7500  4 Pm 2.98, 4 Y 2.98

***

No. 10
Density functional theory data (GGA-PBE) for crystalline PmZrCoOs at its relaxed geometry.

Values from the calculation:
As for the formation energy from the elements: -0.11 eV per atom. The value obtained for the density of states at the Fermi level is 0.392 states/eV/atom. Its total energy is -32.08 eV per formula unit.

Lattice parameters (Å, degrees): 4.7491 4.7491 4.7491 60.00 60.00 60.00
With the nearest neighbours (Å) after each atom.
Atoms (fractional coordinates):
1 Pm 0.0000 0.0000 0.0000  4 Co 2.91, 4 Os 2.91
2 Zr 0.5000 0.5000 0.5000  4 Co 2.91, 4 Os 2.91
3 Co 0.7500 0.7500 0.7500  4 Zr 2.91, 4 Pm 2.91
4 Os 0.2500 0.2500 0.2500  4 Zr 2.91, 4 Pm 2.91

***

No. 11
Density functional theory data (GGA-PBE) for crystalline Pr2CoOs2 at its relaxed geometry.

Values from the calculation:
As for the formation energy from the elements: -0.05 eV per atom. The value obtained for the density of states at the Fermi level is 0.665 states/eV/atom. Its total energy is -39.37 eV per formula unit.

Lattice parameters (Å, degrees): 5.8178 5.8178 5.8178 134.71 128.59 70.90
With the nearest neighbours (Å) after each atom.
Atoms (fractional coordinates):
1 Pr 0.1888 0.1888 0.0000  2 Co 3.09, 6 Os 3.13-3.21
2 Pr 0.8112 0.8112 0.0000  2 Co 3.09, 6 Os 3.13-3.21
3 Co 0.5000 0.0000 0.5000  4 Os 2.58
4 Os 0.2465 0.5000 0.7465  2 Os 2.49-2.56, 2 Co 2.58
5 Os 0.7535 0.5000 0.2535  2 Os 2.49-2.56, 2 Co 2.58

***

No. 12
Density functional theory data (GGA-PBE) for crystalline Pr2CoOs3 at its relaxed geometry.

Values from the calculation:
As for the formation energy from the elements: -0.05 eV per atom. The value obtained for the density of states at the Fermi level is 1.038 states/eV/atom. Its total energy is -50.68 eV per formula unit.

Lattice parameters (Å, degrees): 5.4779 5.4779 5.4779 58.28 58.28 58.28
With the nearest neighbours (Å) after each atom.
Atoms (fractional coordinates):
1 Pr 0.1241 0.1241 0.1241  3 Co 3.13, 9 Os 3.16-3.23, 4 Pr 3.29-3.37
2 Pr 0.8759 0.8759 0.8759  3 Co 3.13, 9 Os 3.16-3.23, 4 Pr 3.29-3.37
3 Co 0.5000 0.5000 0.5000  6 Os 2.74
4 Os 0.0000 0.5000 0.5000  4 Os 2.67, 2 Co 2.74
5 Os 0.5000 0.0000 0.5000  4 Os 2.67, 2 Co 2.74
6 Os 0.5000 0.5000 0.0000  4 Os 2.67, 2 Co 2.74

***

No. 13
Density functional theory data (GGA-PBE) for crystalline Pr2CoOs at its relaxed geometry.

Values from the calculation:
As for the formation energy from the elements: -0.05 eV per atom. The value obtained for the density of states at the Fermi level is 1.659 states/eV/atom. Its total energy is -28.10 eV per formula unit.

Lattice parameters (Å, degrees): 7.5461 7.5461 7.5461 31.89 31.89 31.89
With the nearest neighbours (Å) after each atom.
Atoms (fractional coordinates):
1 Pr 0.0000 0.0000 0.0000  3 Os 3.04, 3 Co 3.08
2 Pr 0.1772 0.1772 0.1772  3 Co 3.04, 3 Os 3.07
3 Co 0.7568 0.7568 0.7568  3 Os 2.39
4 Os 0.4208 0.4208 0.4208  3 Co 2.39

***

No. 14
Density functional theory data (GGA-PBE) for crystalline Pr6CoOs at its relaxed geometry.

Values from the calculation:
As for the formation energy from the elements: -0.03 eV per atom. The value obtained for the density of states at the Fermi level is 1.120 states/eV/atom. Its total energy is -47.28 eV per formula unit.

Lattice parameters (Å, degrees): 6.8408 6.8408 6.2181 90.00 90.00 120.00
With the nearest neighbours (Å) after each atom.
Atoms (fractional coordinates):
1 Pr 0.0000 0.3447 0.2533  1 Co 2.81, 1 Os 2.84
2 Pr 0.0000 0.6553 0.7467  1 Co 2.81, 1 Os 2.84
3 Pr 0.3447 0.0000 0.2533  1 Co 2.81, 1 Os 2.84
4 Pr 0.3447 0.3447 0.7467  1 Co 2.81, 1 Os 2.84
5 Pr 0.6553 0.0000 0.7467  1 Co 2.81, 1 Os 2.84
6 Pr 0.6553 0.6553 0.2533  1 Co 2.81, 1 Os 2.84
7 Co 0.0000 0.0000 0.5000  6 Pr 2.81, 2 Os 3.11
8 Os 0.0000 0.0000 0.0000  6 Pr 2.84, 2 Co 3.11

***

No. 15
Density functional theory data (GGA-PBE) for crystalline Pr8Co2Os at its relaxed geometry.

Values from the calculation:
As for the formation energy from the elements: 0.06 eV per atom. The value obtained for the density of states at the Fermi level is 0.962 states/eV/atom. Its total energy is -63.04 eV per formula unit.

Lattice parameters (Å, degrees): 7.6247 7.6247 6.5060 100.89 100.89 114.16
With the nearest neighbours (Å) after each atom.
Atoms (fractional coordinates):
1 Pr 0.0000 0.0000 0.0000  2 Co 3.12, 1 Os 3.12
2 Pr 0.0038 0.2714 0.5709  2 Co 2.77-2.84, 1 Os 3.02
3 Pr 0.1461 0.5505 0.1916  1 Os 2.87
4 Pr 0.2714 0.0038 0.5709  2 Co 2.77-2.84, 1 Os 3.02
5 Pr 0.4358 0.7067 0.7916  2 Co 2.77-2.81
6 Pr 0.5505 0.1461 0.1916  1 Os 2.87
7 Pr 0.7054 0.7054 0.3837  1 Os 2.92, 2 Co 3.09
8 Pr 0.7067 0.4358 0.7916  2 Co 2.77-2.81
9 Co 0.0449 0.6682 0.6854  5 Pr 2.77-3.09
10 Co 0.6682 0.0449 0.6854  5 Pr 2.77-3.09
11 Os 0.3537 0.3537 0.3844  8 Pr 2.87-3.16

***

No. 16
Density functional theory data (GGA-PBE) for crystalline PrCoSi3Os at its relaxed geometry.

Values from the calculation:
For the formation energy without anion corrections, the calculation gives -0.377 eV/atom. The value obtained for the density of states at the Fermi level is 0.358 states/eV/atom. Its total energy is -41.64 eV per formula unit.

Lattice parameters (Å, degrees): 6.5920 6.5920 5.5316 90.00 90.00 113.59
With the nearest neighbours (Å) after each atom.
Atoms (fractional coordinates):
1 Pr 0.2487 0.7513 0.7500  2 Si 2.77
2 Pr 0.7513 0.2487 0.2500  2 Si 2.77
3 Co 0.0526 0.9474 0.2500  5 Si 2.07-2.28
4 Co 0.9474 0.0526 0.7500  5 Si 2.07-2.28
5 Si 0.2382 0.2382 0.0000  2 Co 2.28, 2 Os 2.43
6 Si 0.2382 0.2382 0.5000  2 Co 2.28, 2 Os 2.43
7 Si 0.2402 0.7598 0.2500  1 Co 2.07, 1 Os 2.23
8 Si 0.7598 0.2402 0.7500  1 Co 2.07, 1 Os 2.23
9 Si 0.7618 0.7618 0.0000  2 Co 2.28, 2 Os 2.43
10 Si 0.7618 0.7618 0.5000  2 Co 2.28, 2 Os 2.43
11 Os 0.4426 0.5574 0.2500  5 Si 2.23-2.43
12 Os 0.5574 0.4426 0.7500  5 Si 2.23-2.43

***

No. 17
Density functional theory data (GGA-PBE) for crystalline PrCoSi2Os at its relaxed geometry.

Values from the calculation:
For the formation energy without anion corrections, the calculation gives -0.716 eV/atom. The value obtained for the density of states at the Fermi level is 0.550 states/eV/atom. Its total energy is -37.54 eV per formula unit.

Lattice parameters (Å, degrees): 5.8030 5.8030 5.8030 138.77 138.77 59.73
With the nearest neighbours (Å) after each atom.
Atoms (fractional coordinates):
1 Pr 0.0000 0.0000 0.0000  8 Si 3.18, 4 Os 3.24, 4 Co 3.24
2 Co 0.2500 0.7500 0.5000  4 Si 2.36
3 Si 0.3676 0.3676 0.0000  2 Os 2.36, 2 Co 2.36
4 Si 0.6324 0.6324 0.0000  2 Os 2.36, 2 Co 2.36
5 Os 0.7500 0.2500 0.5000  4 Si 2.36

***

No. 18
Density functional theory data (GGA-PBE) for crystalline PrThCoOs at its relaxed geometry.

Values from the calculation:
As for the formation energy from the elements: -0.02 eV per atom. The value obtained for the density of states at the Fermi level is 0.324 states/eV/atom. Its total energy is -30.63 eV per formula unit.

Lattice parameters (Å, degrees): 4.9918 4.9918 4.9918 60.00 60.00 60.00
With the nearest neighbours (Å) after each atom.
Atoms (fractional coordinates):
1 Pr 0.0000 0.0000 0.0000  4 Co 3.06, 4 Os 3.06
2 Th 0.5000 0.5000 0.5000  4 Co 3.06, 4 Os 3.06
3 Co 0.7500 0.7500 0.7500  4 Th 3.06, 4 Pr 3.06
4 Os 0.2500 0.2500 0.2500  4 Th 3.06, 4 Pr 3.06

***

No. 19
Density functional theory data (GGA-PBE) for crystalline CoOsPt2 at its relaxed geometry.

Values from the calculation:
As for the formation energy from the elements: 0.11 eV per atom. The value obtained for the density of states at the Fermi level is 1.302 states/eV/atom. Its energy above the most stable polymorph in this dataset is 0.098 eV per atom. Its total energy is -29.97 eV per formula unit.

Lattice parameters (Å, degrees): 4.6905 4.6905 4.6905 131.63 131.63 70.82
With the nearest neighbours (Å) after each atom.
Atoms (fractional coordinates):
1 Co 0.0000 0.0000 0.0000  8 Pt 2.71-2.72, 4 Os 2.71
2 Os 0.2500 0.7500 0.5000  4 Co 2.71, 8 Pt 2.71-2.72
3 Pt 0.5000 0.5000 0.0000  4 Os 2.71, 4 Pt 2.71, 4 Co 2.72
4 Pt 0.7500 0.2500 0.5000  4 Co 2.71, 4 Pt 2.71, 4 Os 2.72

***

No. 20
Density functional theory data (GGA-PBE) for crystalline CoOs2Pt at its relaxed geometry.

Values from the calculation:
As for the formation energy from the elements: 0.21 eV per atom. The value obtained for the density of states at the Fermi level is 1.090 states/eV/atom. Its energy above the most stable polymorph in this dataset is 0.122 eV per atom. Its total energy is -34.76 eV per formula unit.

Lattice parameters (Å, degrees): 2.6944 3.8242 5.3712 90.00 90.00 90.00
With the nearest neighbours (Å) after each atom.
Atoms (fractional coordinates):
1 Co 0.0000 0.0000 0.0000  8 Os 2.65, 2 Pt 2.69, 2 Co 2.69
2 Os 0.5000 0.5000 0.2307  3 Os 2.48-2.69, 4 Co 2.65, 4 Pt 2.75
3 Os 0.5000 0.5000 0.7693  3 Os 2.48-2.69, 4 Co 2.65, 4 Pt 2.75
4 Pt 0.0000 0.0000 0.5000  2 Co 2.69, 2 Pt 2.69, 8 Os 2.75